A plane-wave DFT calculation with PBE was carried out for DyTmIn2 after structural relaxation.

a b c (Å): 9.915 9.915 9.915
angles (deg): 21.26 21.26 21.26
Positions (direct):
Dy: 0.000 0.000 0.000
Tm: 0.500 0.500 0.500
In: 0.249 0.249 0.249
In: 0.751 0.751 0.751

Results
As for the volume: 28.06 A^3/atom. As for the mass density: 8.299 g/cm³. The space group is R-3m, No. 166. For the formation energy, the calculation gives -0.32 eV/atom.